A plane-wave DFT calculation with PBE was carried out for a relaxed Gd3Ga2 crystal.

Unit cell a=8.205 b=8.205 c=7.584 alpha=90.00 beta=90.00 gamma=90.00
Element x y z (fractional)
Ga1 0.120 0.880 0.959
Ga2 0.620 0.620 0.459
Ga3 0.879 0.121 0.553
Ga4 0.880 0.120 0.959
Ga5 0.380 0.380 0.459
Ga6 0.121 0.879 0.553
Ga7 0.621 0.621 0.053
Ga8 0.379 0.379 0.053
Gd1 0.346 0.654 0.757
Gd2 0.804 0.804 0.756
Gd3 0.696 0.304 0.256
Gd4 0.000 0.500 0.007
Gd5 0.196 0.196 0.756
Gd6 0.654 0.346 0.757
Gd7 0.846 0.846 0.257
Gd8 0.500 0.000 0.507
Gd9 0.000 0.500 0.507
Gd10 0.154 0.154 0.257
Gd11 0.304 0.696 0.256
Gd12 0.500 0.000 0.007

The calculation puts the total energy at -22.407 eV/f.u. The symmetry is P4_2nm (102). Its offset from the most stable computed form is 51 meV per atom.